DFT (PBE) results for an optimized crystal structure of Ce6HPb3.

abc: 10.6647 10.6647 4.7598
angles: 90.00 90.00 101.44
Closest atoms and distances in Å follow each position.
Fractional coordinates of all 20 atoms:
Ce 0.0641 0.9359 0.7500  1 H 2.36
Ce 0.0734 0.5743 0.7500  1 H 2.48
Ce 0.2501 0.7499 0.2500  2 H 2.48
Ce 0.2699 0.3999 0.2500  2 Ce 3.21, 6 Pb 3.32-3.56
Ce 0.3999 0.2699 0.7500  2 Ce 3.21, 6 Pb 3.32-3.56
Ce 0.4257 0.9266 0.7500  1 H 2.48
Ce 0.5743 0.0734 0.2500  1 H 2.48
Ce 0.6001 0.7301 0.2500  2 Ce 3.21, 6 Pb 3.32-3.56
Ce 0.7301 0.6001 0.7500  2 Ce 3.21, 6 Pb 3.32-3.56
Ce 0.7499 0.2501 0.7500  2 H 2.48
Ce 0.9266 0.4257 0.2500  1 H 2.48
Ce 0.9359 0.0641 0.2500  1 H 2.36
H 0.2072 0.7928 0.7500  5 Ce 2.36-2.48
H 0.7928 0.2072 0.2500  5 Ce 2.36-2.48
Pb 0.0669 0.2652 0.7500  10 Ce 3.28-3.54
Pb 0.2652 0.0669 0.2500  10 Ce 3.28-3.54
Pb 0.3973 0.6027 0.7500  1 H 3.14, 8 Ce 3.32-3.41
Pb 0.6027 0.3973 0.2500  1 H 3.14, 8 Ce 3.32-3.41
Pb 0.7348 0.9331 0.7500  10 Ce 3.28-3.54
Pb 0.9331 0.7348 0.2500  10 Ce 3.28-3.54

Properties
DOS at the Fermi energy: 60.09 states/eV/cell
Total DFT energy (no corrections): -53.5 eV per formula unit
Space group: No. 63